1) DFT (GGA-PBE) results for a geometry-optimized Tm8FePd2 structure.

Lattice parameters (Å, degrees): 5.933 7.605 7.605 115.53 102.12 102.12
Atoms (fractional coordinates):
Pd: 0.488 0.318 0.701
Pd: 0.488 0.701 0.318
Tm: 0.365 0.666 0.916
Tm: 0.584 0.342 0.094
Tm: 0.988 0.194 0.800
Tm: 0.584 0.094 0.342
Tm: 0.365 0.916 0.666
Tm: 0.807 0.653 0.653
Tm: 0.171 0.350 0.350
Tm: 0.988 0.800 0.194
Fe: 0.173 0.999 0.999

Values from the calculation:
volume = 25.88 A^3/atom
mass density = 9.45 g cm⁻³
spin magnetization = 0.0 μB per cell

=====

2) DFT (GGA-PBE) results for a geometry-optimized Tm8FePd2 structure.

Lattice parameters (Å, degrees): 5.011 6.649 8.791 106.73 106.56 90.00
Atoms (fractional coordinates):
Pd: 0.814 0.291 0.628
Pd: 0.186 0.709 0.372
Tm: 0.800 0.692 0.599
Tm: 0.591 0.432 0.181
Tm: 0.338 0.034 0.676
Tm: 0.409 0.568 0.819
Tm: 0.662 0.966 0.324
Tm: 0.970 0.204 0.940
Tm: 0.200 0.308 0.401
Tm: 0.030 0.796 0.060
Fe: 0.500 0.000 0.000

Values from the calculation:
volume = 24.34 A^3/atom
mass density = 10.05 g cm⁻³
spin magnetization = 0.0 μB per cell

=====

Stability summary - winner: 2); margin: 0.093 eV/atom.

=====

1) DFT (GGA-PBE) results for a geometry-optimized VFePd5 structure.

Lattice parameters (Å, degrees): 3.936 3.936 7.019 90.00 90.00 90.00
Last column: magnetic moment on the atom in μB.
Atoms (fractional coordinates):
Fe: 0.500 0.500 0.000  3.25
Pd: 0.000 0.500 0.229  0.23
Pd: 0.000 0.500 0.771  0.23
Pd: 0.500 0.000 0.771  0.23
Pd: 0.500 0.500 0.500  0.10
Pd: 0.500 0.000 0.229  0.23
V: 0.000 0.000 0.500  -0.60

Values from the calculation:
volume = 15.53 A^3/atom
mass density = 9.76 g cm⁻³
spin magnetization = 3.7 μB per cell

=====

2) DFT (GGA-PBE) results for a geometry-optimized VFePd5 structure.

Lattice parameters (Å, degrees): 6.875 5.159 5.469 118.14 128.94 90.00
Last column: magnetic moment on the atom in μB.
Atoms (fractional coordinates):
Fe: 0.740 0.500 0.000  2.92
Pd: 0.412 0.244 0.000  0.12
Pd: 0.412 0.756 0.000  0.12
Pd: 0.262 0.188 0.375  0.20
Pd: 0.887 0.812 0.625  0.20
Pd: 0.075 0.500 0.000  0.28
V: 0.744 0.000 0.000  -1.92

Values from the calculation:
volume = 17.14 A^3/atom
mass density = 8.84 g cm⁻³
spin magnetization = 1.7 μB per cell

=====

Stability summary - winner: 1); margin: 0.413 eV/atom.

=====

1) DFT (GGA-PBE) results for a geometry-optimized V2Fe2Pd structure.

Lattice parameters (Å, degrees): 6.744 6.744 2.765 90.00 90.00 90.00
Atoms (fractional coordinates):
V: 0.840 0.340 0.500
V: 0.340 0.160 0.500
V: 0.160 0.660 0.500
V: 0.660 0.840 0.500
Pd: 0.000 0.000 0.000
Pd: 0.500 0.500 0.000
Fe: 0.866 0.634 0.000
Fe: 0.366 0.866 0.000
Fe: 0.634 0.134 0.000
Fe: 0.134 0.366 0.000

Values from the calculation:
volume = 12.57 A^3/atom
mass density = 8.45 g cm⁻³
spin magnetization = 0.0 μB per cell

=====

2) DFT (GGA-PBE) results for a geometry-optimized V2Fe2Pd structure.

Lattice parameters (Å, degrees): 6.872 6.872 2.708 90.00 90.00 90.00
Atoms (fractional coordinates):
Pd: 0.500 0.500 0.000
Pd: 0.000 0.000 0.000
V: 0.352 0.852 0.000
V: 0.648 0.148 0.000
V: 0.148 0.352 0.000
V: 0.852 0.648 0.000
Fe: 0.645 0.855 0.500
Fe: 0.355 0.145 0.500
Fe: 0.855 0.355 0.500
Fe: 0.145 0.645 0.500

Values from the calculation:
volume = 12.79 A^3/atom
mass density = 8.31 g cm⁻³
spin magnetization = 0.0 μB per cell

=====

Stability summary - winner: 1); margin: 0.131 eV/atom.

=====

1) DFT (GGA-PBE) results for a geometry-optimized VFePd6 structure.

Lattice parameters (Å, degrees): 4.557 4.557 7.189 73.42 73.42 71.22
Last column: magnetic moment on the atom in μB.
Atoms (fractional coordinates):
Pd: 0.652 0.652 0.060  0.06
Pd: 0.561 0.067 0.301  0.14
Pd: 0.348 0.348 0.940  0.06
Pd: 0.933 0.439 0.699  0.14
Pd: 0.067 0.561 0.301  0.14
Pd: 0.439 0.933 0.699  0.14
V: 0.000 0.000 0.000  -0.70
Fe: 0.500 0.500 0.500  3.21

Values from the calculation:
volume = 16.55 A^3/atom
mass density = 9.35 g cm⁻³
spin magnetization = 3.1 μB per cell

=====

2) DFT (GGA-PBE) results for a geometry-optimized VFePd6 structure.

Lattice parameters (Å, degrees): 3.894 3.894 7.792 90.00 90.00 90.00
Last column: magnetic moment on the atom in μB.
Atoms (fractional coordinates):
V: 0.000 0.000 0.500  1.15
Pd: 0.000 0.500 0.252  0.12
Pd: 0.500 0.500 0.500  0.04
Pd: 0.500 0.500 0.000  0.26
Pd: 0.000 0.500 0.748  0.12
Pd: 0.500 0.000 0.252  0.12
Pd: 0.500 0.000 0.748  0.12
Fe: 0.000 0.000 0.000  3.38

Values from the calculation:
volume = 14.77 A^3/atom
mass density = 10.47 g cm⁻³
spin magnetization = 5.4 μB per cell

=====

Stability summary - winner: 2); margin: 0.263 eV/atom.

=====

1) DFT (GGA-PBE) results for a geometry-optimized V2FePd2 structure.

Lattice parameters (Å, degrees): 2.675 4.581 6.183 74.09 77.46 73.00
Last column: magnetic moment on the atom in μB.
Atoms (fractional coordinates):
Pd: 0.595 0.695 0.615  0.04
Pd: 0.405 0.305 0.385  0.04
Fe: 0.000 0.500 0.000  2.22
V: 0.800 0.092 0.805  -0.24
V: 0.200 0.908 0.195  -0.24

Values from the calculation:
volume = 13.78 A^3/atom
mass density = 8.93 g cm⁻³
spin magnetization = 1.7 μB per cell

=====

2) DFT (GGA-PBE) results for a geometry-optimized V2FePd2 structure.

Lattice parameters (Å, degrees): 7.426 7.426 2.687 90.00 90.00 90.00
Last column: magnetic moment on the atom in μB.
Atoms (fractional coordinates):
Pd: 0.628 0.128 0.000  0.02
Pd: 0.872 0.628 0.000  0.02
Pd: 0.372 0.872 0.000  0.02
Pd: 0.128 0.372 0.000  0.02
V: 0.671 0.829 0.500  -0.44
V: 0.829 0.329 0.500  -0.44
V: 0.329 0.171 0.500  -0.44
V: 0.171 0.671 0.500  -0.44
Fe: 0.000 0.000 0.000  2.88
Fe: 0.500 0.500 0.000  2.88

Values from the calculation:
volume = 14.82 A^3/atom
mass density = 8.31 g cm⁻³
spin magnetization = 3.8 μB per cell

=====

Stability summary - winner: 1); margin: 0.240 eV/atom.

=====

1) DFT (GGA-PBE) results for a geometry-optimized VFe2Pd8 structure.

Lattice parameters (Å, degrees): 4.477 7.054 6.839 58.96 78.68 67.63
Last column: magnetic moment on the atom in μB.
Atoms (fractional coordinates):
Fe: 0.000 0.310 0.379  3.23
Fe: 0.000 0.690 0.621  3.23
V: 0.500 0.000 0.000  -1.47
Pd: 0.114 0.677 0.233  0.22
Pd: 0.312 0.382 0.000  0.15
Pd: 0.688 0.618 0.000  0.15
Pd: 0.886 0.323 0.767  0.22
Pd: 0.500 0.784 0.432  0.23
Pd: 0.114 0.910 0.767  0.22
Pd: 0.500 0.216 0.568  0.23
Pd: 0.886 0.090 0.233  0.22

Values from the calculation:
volume = 15.56 A^3/atom
mass density = 9.84 g cm⁻³
spin magnetization = 6.4 μB per cell

=====

2) DFT (GGA-PBE) results for a geometry-optimized VFe2Pd8 structure.

Lattice parameters (Å, degrees): 3.940 6.157 7.224 105.84 105.82 90.00
Last column: magnetic moment on the atom in μB.
Atoms (fractional coordinates):
V: 0.500 0.000 0.000  -1.43
Pd: 0.044 0.734 0.089  0.12
Pd: 0.598 0.453 0.196  0.20
Pd: 0.859 0.807 0.718  0.17
Pd: 0.680 0.915 0.360  0.20
Pd: 0.956 0.266 0.911  0.12
Pd: 0.141 0.193 0.282  0.17
Pd: 0.320 0.085 0.640  0.20
Pd: 0.402 0.547 0.804  0.20
Fe: 0.777 0.357 0.553  3.15
Fe: 0.223 0.643 0.447  3.15

Values from the calculation:
volume = 14.70 A^3/atom
mass density = 10.42 g cm⁻³
spin magnetization = 6.0 μB per cell

=====

Stability summary - winner: 2); margin: 0.171 eV/atom.